# 1
# PBE Ba4TlOs, optimized geometry
data_Ba4TlOs
_chemical_formula_sum 'Ba4 Tl1 Os1'
_space_group_name_H-M_alt 'P 1'
_space_group_IT_number 1
_cell_length_a 6.8709
_cell_length_b 6.8709
_cell_length_c 6.8709
_cell_angle_alpha 60.00
_cell_angle_beta 60.00
_cell_angle_gamma 60.00
loop_
_space_group_symop_operation_xyz
'x,y,z'
loop_
_atom_site_label
_atom_site_fract_x
_atom_site_fract_y
_atom_site_fract_z
Ba1 0.1241 0.1241 0.1241
Ba2 0.1241 0.1241 0.6278
Ba3 0.1241 0.6278 0.1241
Ba4 0.6278 0.1241 0.1241
Tl1 0.5000 0.5000 0.5000
Os1 0.7500 0.7500 0.7500
# - Electronic total energy: -2.4524 eV/atom

# 2
# PBE BaTlOs2, optimized geometry
data_BaTlOs2
_chemical_formula_sum 'Ba1 Tl1 Os2'
_space_group_name_H-M_alt 'P 1'
_space_group_IT_number 1
_cell_length_a 5.3670
_cell_length_b 3.0628
_cell_length_c 5.6110
_cell_angle_alpha 90.00
_cell_angle_beta 112.68
_cell_angle_gamma 90.00
loop_
_space_group_symop_operation_xyz
'x,y,z'
loop_
_atom_site_label
_atom_site_fract_x
_atom_site_fract_y
_atom_site_fract_z
Ba1 0.0000 0.0000 0.0000
Tl1 0.0000 0.5000 0.5000
Os1 0.5000 0.0000 0.5000
Os2 0.5000 0.5000 0.0000
# - Excess energy over the best structure of this formula in the dataset: 1099 meV/atom

# 3
# PBE BaTlOs2, optimized geometry
data_BaTlOs2
_chemical_formula_sum 'Ba1 Tl1 Os2'
_space_group_name_H-M_alt 'P 1'
_space_group_IT_number 1
_cell_length_a 5.0198
_cell_length_b 5.0198
_cell_length_c 5.0198
_cell_angle_alpha 119.85
_cell_angle_beta 119.85
_cell_angle_gamma 90.27
loop_
_space_group_symop_operation_xyz
'x,y,z'
loop_
_atom_site_label
_atom_site_fract_x
_atom_site_fract_y
_atom_site_fract_z
Ba1 0.0000 0.0000 0.0000
Tl1 0.2500 0.7500 0.5000
Os1 0.5000 0.5000 0.0000
Os2 0.7500 0.2500 0.5000
# - Excess energy over the best structure of this formula in the dataset: 1090 meV/atom

# 4
# PBE BaTlOs3, optimized geometry
data_BaTlOs3
_chemical_formula_sum 'Ba1 Tl1 Os3'
_space_group_name_H-M_alt 'P 1'
_space_group_IT_number 1
_cell_length_a 5.1189
_cell_length_b 5.1189
_cell_length_c 5.1189
_cell_angle_alpha 90.00
_cell_angle_beta 90.00
_cell_angle_gamma 90.00
loop_
_space_group_symop_operation_xyz
'x,y,z'
loop_
_atom_site_label
_atom_site_fract_x
_atom_site_fract_y
_atom_site_fract_z
Ba1 0.0000 0.0000 0.0000
Tl1 0.5000 0.5000 0.5000
Os1 0.0000 0.5000 0.5000
Os2 0.5000 0.0000 0.5000
Os3 0.5000 0.5000 0.0000
# - Excess energy over the best structure of this formula in the dataset: 0 meV/atom

# 5
# PBE BaTlOs2, optimized geometry
data_BaTlOs2
_chemical_formula_sum 'Ba1 Tl1 Os2'
_space_group_name_H-M_alt 'P 1'
_space_group_IT_number 1
_cell_length_a 4.7908
_cell_length_b 4.7908
_cell_length_c 6.5953
_cell_angle_alpha 112.64
_cell_angle_beta 112.64
_cell_angle_gamma 56.61
loop_
_space_group_symop_operation_xyz
'x,y,z'
loop_
_atom_site_label
_atom_site_fract_x
_atom_site_fract_y
_atom_site_fract_z
Ba1 0.0000 0.0000 0.0000
Tl1 0.5000 0.5000 0.5000
Os1 0.1885 0.1885 0.5220
Os2 0.8115 0.8115 0.4780
# - Excess energy over the best structure of this formula in the dataset: 231 meV/atom

# 6
# PBE BaTl2Os, optimized geometry
data_BaTl2Os
_chemical_formula_sum 'Ba1 Tl2 Os1'
_space_group_name_H-M_alt 'P 1'
_space_group_IT_number 1
_cell_length_a 3.7822
_cell_length_b 4.6904
_cell_length_c 6.5814
_cell_angle_alpha 90.00
_cell_angle_beta 105.67
_cell_angle_gamma 90.00
loop_
_space_group_symop_operation_xyz
'x,y,z'
loop_
_atom_site_label
_atom_site_fract_x
_atom_site_fract_y
_atom_site_fract_z
Ba1 0.0000 0.0000 0.0000
Tl1 0.3507 0.5000 0.6988
Tl2 0.6493 0.5000 0.3012
Os1 0.5000 0.0000 0.5000
# - Electronic total energy: -3.9237 eV/atom

# 7
# PBE BaVOs3, optimized geometry
data_BaVOs3
_chemical_formula_sum 'Ba1 V1 Os3'
_space_group_name_H-M_alt 'P 1'
_space_group_IT_number 1
_cell_length_a 4.6952
_cell_length_b 4.6952
_cell_length_c 4.6952
_cell_angle_alpha 90.00
_cell_angle_beta 90.00
_cell_angle_gamma 90.00
loop_
_space_group_symop_operation_xyz
'x,y,z'
loop_
_atom_site_label
_atom_site_fract_x
_atom_site_fract_y
_atom_site_fract_z
Ba1 0.0000 0.0000 0.0000
V1 0.5000 0.5000 0.5000
Os1 0.0000 0.5000 0.5000
Os2 0.5000 0.0000 0.5000
Os3 0.5000 0.5000 0.0000
# - Electronic total energy: -7.6876 eV/atom

# 8
# PBE BaV3Os, optimized geometry
data_BaV3Os
_chemical_formula_sum 'Ba1 V3 Os1'
_space_group_name_H-M_alt 'P 1'
_space_group_IT_number 1
_cell_length_a 4.6614
_cell_length_b 4.6614
_cell_length_c 4.6614
_cell_angle_alpha 90.00
_cell_angle_beta 90.00
_cell_angle_gamma 90.00
loop_
_space_group_symop_operation_xyz
'x,y,z'
loop_
_atom_site_label
_atom_site_fract_x
_atom_site_fract_y
_atom_site_fract_z
Ba1 0.0000 0.0000 0.0000
V1 0.0000 0.0000 0.5000
V2 0.0000 0.5000 0.0000
V3 0.5000 0.0000 0.0000
Os1 0.5000 0.5000 0.5000
# - Excess energy over the best structure of this formula in the dataset: 2078 meV/atom